No. 1
Below is crystalline CsIrBr5 at its relaxed geometry, with properties calculated at the GGA-PBE level.

```
CsIrBr5
1.0
2.189 5.670 3.424
3.650 -0.979 6.395
6.199 3.332 -2.375
Br Cs Ir
5 1 1
Cartesian
8.669 3.972 4.472 Br
6.297 4.334 1.936 Br
5.410 2.833 4.990 Br
4.931 1.195 2.021 Br
4.102 5.949 4.117 Br
1.499 3.883 2.345 Cs
6.366 4.911 4.265 Ir
```

Output
Raw formation energy in kJ/mol of formula units: -366


No. 2
Below is crystalline Rb2TeCl6 at its relaxed geometry, with properties calculated at the GGA-PBE level.

```
Rb2TeCl6
1.0
-2.361 -0.908 -6.686
5.287 -4.650 -1.236
-8.199 -10.470 4.317
Cl Rb Te
12 4 2
Cartesian
-4.243 -8.430 0.167 Cl
2.849 -5.385 -1.620 Cl
2.181 -4.144 -5.906 Cl
-4.583 -7.062 -3.189 Cl
-1.030 -7.598 -3.771 Cl
-0.691 -8.966 -0.415 Cl
-8.123 -10.643 -1.984 Cl
-2.107 -2.960 -5.152 Cl
-2.060 -5.642 -0.983 Cl
-3.214 -10.386 -2.621 Cl
-3.167 -13.067 1.548 Cl
0.744 -1.414 -2.015 Cl
-2.745 -3.505 1.445 Rb
-5.455 -6.965 2.872 Rb
-5.382 -11.519 -0.357 Rb
0.108 -4.509 -3.247 Rb
-2.637 -8.014 -1.802 Te
0.000 0.000 0.000 Te
```

Output
Raw formation energy in kJ/mol of formula units: -1073


No. 3
Below is crystalline Ac2Nd4Ho5 at its relaxed geometry, with properties calculated at the GGA-PBE level.

```
Ac2Nd4Ho5
1.0
-0.416 -3.206 1.535
11.351 0.187 3.470
-13.649 5.510 3.631
Ho Nd Ac
5 4 2
Cartesian
2.643 2.040 4.975 Ho
-0.216 1.440 7.119 Ho
-2.498 1.051 1.517 Ho
-5.358 0.452 3.661 Ho
-0.208 -1.603 0.768 Ho
2.525 0.487 1.702 Nd
-0.147 -0.066 3.993 Nd
-2.567 2.557 4.643 Nd
-5.239 2.004 6.934 Nd
-8.373 1.577 5.193 Ac
5.658 0.914 3.444 Ac
```

Output
Formation enthalpy at 0 K in eV/atom: 0.15


No. 4
Below is crystalline LaMgSn at its relaxed geometry, with properties calculated at the GGA-PBE level.

```
LaMgSn
1.0
-2.677 2.646 1.532
-3.571 -3.347 -0.459
2.619 0.246 4.153
La Sn Mg
1 1 1
Cartesian
-3.291 -0.386 2.099 La
0.103 -0.504 2.874 Sn
-0.441 0.436 0.252 Mg
```

Output
Formation enthalpy at 0 K in eV/atom: -0.53


No. 5
Below is crystalline BaIn2BiAu4 at its relaxed geometry, with properties calculated at the GGA-PBE level.

```
BaIn2BiAu4
1.0
4.691 0.000 0.000
2.345 4.062 0.000
2.345 1.354 10.946
In Au Ba Bi
2 4 1 1
Cartesian
7.036 4.062 8.073 In
2.345 1.354 2.874 In
4.691 2.708 8.847 Au
2.345 1.354 6.975 Au
7.036 4.062 3.971 Au
4.691 2.708 2.099 Au
0.000 0.000 0.000 Ba
4.691 2.708 5.473 Bi
```

Output
Formation enthalpy at 0 K in eV/atom: -0.34


No. 6
Below is crystalline Sc3GeH at its relaxed geometry, with properties calculated at the GGA-PBE level.

```
Sc3GeH
1.0
4.354 0.000 0.000
0.000 4.354 0.000
0.000 0.000 4.354
Sc H Ge
3 1 1
Cartesian
2.177 0.000 0.000 Sc
0.000 2.177 0.000 Sc
0.000 0.000 2.177 Sc
0.000 0.000 0.000 H
2.177 2.177 2.177 Ge
```

Output
Distance to the lowest polymorph of the same formula in meV per atom: 14


No. 7
Below is crystalline GdNpHg2 at its relaxed geometry, with properties calculated at the GGA-PBE level.

```
GdNpHg2
1.0
3.438 0.000 0.000
0.000 5.511 0.000
0.000 0.000 5.511
Np Gd Hg
1 1 2
Cartesian
1.719 2.755 2.755 Np
1.719 0.000 0.000 Gd
0.000 2.755 0.000 Hg
0.000 0.000 2.755 Hg
```

Output
Formation enthalpy at 0 K in eV/atom: -0.07


No. 8
Below is crystalline ZrMn2Tl3S6 at its relaxed geometry, with properties calculated at the GGA-PBE level.

```
ZrMn2Tl3S6
1.0
6.419 0.045 0.002
-3.169 5.583 0.002
-1.103 -1.910 7.508
S Tl Mn Zr
6 3 2 1
Cartesian
2.132 3.691 1.349 S
2.177 -0.026 1.399 S
3.258 1.845 6.114 S
-0.030 3.744 6.114 S
-1.110 1.873 1.399 S
0.016 0.027 6.164 S
1.074 1.859 3.757 Tl
-2.153 3.723 3.757 Tl
4.301 -0.005 3.757 Tl
3.246 1.878 0.002 Mn
0.005 3.750 0.002 Mn
0.000 0.000 0.000 Zr
```

Output
Raw formation energy in kJ/mol of formula units: -821